VASP calculation (PBE) on a geometry-optimized Tb2DyO structure.

abc: 3.198 3.198 8.738
angles: 90.00 90.00 90.00
Element x y z (fractional)
Tb 0.000 0.000 0.825
Tb 0.000 0.000 0.175
O 0.500 0.500 0.000
Dy 0.500 0.500 0.500

## Properties
Excess energy over the best structure of this formula in the dataset   508 meV per atom
Formation energy (no corrections)   -0.83 eV/atom
Calculated total energy   -22.12 eV for the cell shown

***

VASP calculation (PBE) on a geometry-optimized Cd2AsS structure.

abc: 6.146 6.146 7.279
angles: 65.03 65.03 90.00
Element x y z (fractional)
As 0.000 0.000 0.000
As 0.750 0.250 0.500
S 0.500 0.500 0.000
S 0.250 0.750 0.500
Cd 0.614 0.125 0.250
Cd 0.136 0.625 0.250
Cd 0.375 0.386 0.750
Cd 0.875 0.864 0.750

## Properties
Excess energy over the best structure of this formula in the dataset   0 meV per atom
Formation energy (no corrections)   -0.17 eV/atom
Calculated total energy   -22.57 eV for the cell shown

***

VASP calculation (PBE) on a geometry-optimized SmInP structure.

abc: 4.889 4.889 8.606
angles: 73.50 73.50 60.00
Element x y z (fractional)
Sm 0.603 0.603 0.191
Sm 0.397 0.397 0.809
P 0.283 0.283 0.150
P 0.717 0.717 0.850
In 0.825 0.825 0.525
In 0.175 0.175 0.475

## Properties
Energy of formation   -757 meV/atom
Calculated total energy   -30.27 eV for the cell shown

***

VASP calculation (PBE) on a geometry-optimized PmDyHfN3 structure.

abc: 3.400 5.777 8.953
angles: 101.54 90.00 90.00
Element x y z (fractional)
Pm 0.750 0.659 0.698
Pm 0.250 0.341 0.302
Dy 0.250 0.148 0.642
Dy 0.750 0.852 0.358
Hf 0.250 0.765 0.040
Hf 0.750 0.235 0.960
N 0.250 0.749 0.505
N 0.750 0.030 0.137
N 0.750 0.545 0.142
N 0.750 0.251 0.495
N 0.250 0.455 0.858
N 0.250 0.970 0.863

## Properties
Formation energy (no corrections)   -1.46 eV/atom
Calculated total energy   -106.08 eV for the cell shown

***

VASP calculation (PBE) on a geometry-optimized GdNiBiAu structure.

abc: 4.956 4.956 4.956
angles: 60.00 60.00 60.00
Site moments in Bohr magnetons follow the coordinates.
Element x y z (fractional)
Ni 0.250 0.250 0.250  -0.07
Gd 0.000 0.000 0.000  6.94
Au 0.750 0.750 0.750  -0.02
Bi 0.500 0.500 0.500  -0.04

## Properties
Energy of formation   -349 meV/atom
Calculated total energy   -28.41 eV for the cell shown

***

VASP calculation (PBE) on a geometry-optimized La2ScHgTe structure.

abc: 5.786 5.168 5.786
angles: 90.00 90.00 90.00
Site moments in Bohr magnetons follow the coordinates.
Element x y z (fractional)
Sc 0.000 0.000 0.000  0.28
Te 0.500 0.500 0.500  0.01
Hg 0.000 0.500 0.000  0.01
La 0.000 0.000 0.500  0.13
La 0.500 0.000 0.000  0.11

## Properties
Formation energy (no corrections)   0.09 eV/atom
Calculated total energy   -19.20 eV for the cell shown

***

VASP calculation (PBE) on a geometry-optimized OsRhI2N structure.

abc: 5.242 5.242 3.661
angles: 90.00 90.00 90.00
Element x y z (fractional)
I 0.000 0.500 0.000
I 0.500 0.000 0.000
Rh 0.000 0.000 0.500
Os 0.500 0.500 0.500
N 0.000 0.000 0.000

## Properties
Excess energy over the best structure of this formula in the dataset   817 meV per atom
Formation energy (no corrections)   1.69 eV/atom
Calculated total energy   -21.54 eV for the cell shown

***

VASP calculation (PBE) on a geometry-optimized Be3AlMo structure.

abc: 4.257 4.257 4.257
angles: 90.00 90.00 90.00
Element x y z (fractional)
Be 0.000 0.500 0.000
Be 0.000 0.000 0.500
Be 0.500 0.000 0.000
Mo 0.000 0.000 0.000
Al 0.500 0.500 0.500

## Properties
Excess energy over the best structure of this formula in the dataset   0 meV per atom
Energy of formation   1232 meV/atom
Calculated total energy   -19.59 eV for the cell shown

***

VASP calculation (PBE) on a geometry-optimized CsPIrO structure.

abc: 5.524 3.616 9.887
angles: 90.00 90.00 90.00
Element x y z (fractional)
Cs 0.000 0.000 0.526
Cs 0.000 0.500 0.026
P 0.500 0.000 0.210
P 0.500 0.500 0.710
Ir 0.500 0.000 0.832
Ir 0.500 0.500 0.332
O 0.500 0.000 0.050
O 0.500 0.500 0.550

## Properties
Excess energy over the best structure of this formula in the dataset   156 meV per atom
Formation energy (no corrections)   -0.77 eV/atom
Calculated total energy   -46.29 eV for the cell shown

***

VASP calculation (PBE) on a geometry-optimized Nb3AuN structure.

abc: 8.063 8.063 8.063
angles: 60.00 60.00 60.00
Element x y z (fractional)
Nb 0.819 0.181 0.181
Nb 0.069 0.431 0.431
Nb 0.431 0.431 0.069
Nb 0.431 0.069 0.069
Nb 0.069 0.431 0.069
Nb 0.819 0.181 0.819
Nb 0.431 0.069 0.431
Nb 0.069 0.069 0.431
Nb 0.181 0.819 0.181
Nb 0.181 0.819 0.819
Nb 0.181 0.181 0.819
Nb 0.819 0.819 0.181
Au 0.625 0.625 0.625
Au 0.625 0.125 0.625
Au 0.125 0.625 0.625
Au 0.625 0.625 0.125
N 0.125 0.125 0.125
N 0.125 0.625 0.125
N 0.625 0.125 0.125
N 0.125 0.125 0.625

## Properties
Formation energy (no corrections)   -0.21 eV/atom
Calculated total energy   -171.43 eV for the cell shown

***

VASP calculation (PBE) on a geometry-optimized TeP2Os structure.

abc: 7.280 7.280 7.280
angles: 150.87 154.68 38.98
Element x y z (fractional)
Os 0.262 0.762 0.500
P 0.110 0.110 0.000
P 0.719 0.219 0.500
Te 0.409 0.409 0.000

## Properties
Excess energy over the best structure of this formula in the dataset   260 meV per atom
Formation energy (no corrections)   0.29 eV/atom
Calculated total energy   -24.02 eV for the cell shown

***

VASP calculation (PBE) on a geometry-optimized SrSi2As2 structure.

abc: 4.805 4.805 6.135
angles: 66.94 66.94 90.00
Element x y z (fractional)
Sr 0.000 0.000 0.000
As 0.335 0.335 0.331
As 0.665 0.665 0.669
Si 0.750 0.250 0.500
Si 0.250 0.750 0.500

## Properties
Formation energy (no corrections)   -0.15 eV/atom
Calculated total energy   -22.57 eV for the cell shown

***

Which value of calculated total energy does entry 9 give?
-46.29 eV for the cell shown

***

What is the formula in the sixth record?
La2ScHgTe

***

Look up the calculated total energy of the fifth one.
-28.41 eV for the cell shown

***

Repeat the second record exactly.
VASP calculation (PBE) on a geometry-optimized Cd2AsS structure.

abc: 6.146 6.146 7.279
angles: 65.03 65.03 90.00
Element x y z (fractional)
As 0.000 0.000 0.000
As 0.750 0.250 0.500
S 0.500 0.500 0.000
S 0.250 0.750 0.500
Cd 0.614 0.125 0.250
Cd 0.136 0.625 0.250
Cd 0.375 0.386 0.750
Cd 0.875 0.864 0.750

## Properties
Excess energy over the best structure of this formula in the dataset   0 meV per atom
Formation energy (no corrections)   -0.17 eV/atom
Calculated total energy   -22.57 eV for the cell shown